## CrCuTe2 (PBE)

Data for an optimized crystal structure of CrCuTe2.

Cell: 3.9345 3.9345 6.9099 Å, 73.32 73.32 60.05°
Last column: nearest neighbours and their distance in Å.
Sites, in units of the cell vectors:
Cr  0.7500  0.7500  0.7500  6 Te 2.78-2.79
Cu  0.2500  0.2500  0.2500  6 Te 2.80-2.82
Te  0.0003  0.0003  0.9969  3 Cr 2.78-2.79, 3 Cu 2.80-2.82
Te  0.4997  0.4997  0.5031  3 Cr 2.78-2.79, 3 Cu 2.80-2.82

The calculation puts the formation energy without anion corrections at -0.01 eV/atom. As for the distance to the lowest polymorph of the same formula: 14 meV/atom. Its total energy is -5.01 eV per atom. Its space group is C2/m. For the spin magnetization, the calculation gives 0.7887 μB/atom.